An optimized crystal structure of Sn2Hg4Pb5. Source: Alexandria via LeMat-Bulk, functional PBE. Values from VASP.

For the energy relative to the lowest polymorph listed for this composition, the calculation gives 55 meV/atom.

Cell and atoms, written as Quantum ESPRESSO input:
```
&SYSTEM
  ibrav = 0, nat = 11, ntyp = 3
/
ATOMIC_SPECIES
Sn 118.71 Sn.upf
Hg 200.59 Hg.upf
Pb 207.20 Pb.upf
CELL_PARAMETERS angstrom
-1.7027 4.8862 9.8980
1.7027 -4.8862 9.8980
1.7027 4.8862 -9.8980
ATOMIC_POSITIONS angstrom
Sn 0.0000 0.0000 4.3918
Sn 0.0000 0.0000 15.4042
Hg 0.0000 0.0000 1.5186
Hg 1.7027 2.1905 0.0000
Hg 0.0000 2.6957 9.8980
Hg 0.0000 0.0000 18.2774
Pb 1.7027 2.7770 -3.1350
Pb 1.7027 2.7770 3.1350
Pb 0.0000 4.8862 0.0000
Pb 0.0000 2.1092 6.7630
Pb 0.0000 2.1092 13.0329
```